This record from Alexandria via LeMat-Bulk describes crystalline MoAu3 at its relaxed geometry. The functional is GGA-PBE.

## Properties
- crystal system = monoclinic
- calculated formation energy (eV per formula unit) = 1.1
- uncorrected energy (eV for the cell shown) = -19.604

Cell: 4.951 4.951 5.247 Å, 97.07 97.07 32.94°
Positions (direct):
Mo  0.000  0.000  0.000
Au  0.255  0.255  0.759
Au  0.500  0.500  0.500
Au  0.745  0.745  0.241